# 1
# Ce2Co3Ru (GGA-PBE, relaxed)
# * E_form: -257 meV per atom
data_Ce2Co3Ru
_symmetry_space_group_name_H-M 'C 1 2/m 1'
_symmetry_Int_Tables_number 12
_cell_length_a 8.6765
_cell_length_b 5.0232
_cell_length_c 5.1790
_cell_angle_alpha 90.00
_cell_angle_beta 124.05
_cell_angle_gamma 90.00
loop_
_symmetry_equiv_pos_as_xyz
'x,y,z'
'-x,-y,-z'
'-x,y,-z'
'x,-y,z'
'x+1/2,y+1/2,z'
'-x+1/2,-y+1/2,-z'
'-x+1/2,y+1/2,-z'
'x+1/2,-y+1/2,z'
loop_
_atom_site_label
_atom_site_type_symbol
_atom_site_fract_x
_atom_site_fract_y
_atom_site_fract_z
Ce1 Ce 0.1219 0.0000 0.3660
Co1 Co 0.0000 0.5000 0.0000
Co2 Co 0.2500 0.2500 0.0000
Ru1 Ru 0.0000 0.5000 0.5000

***

# 2
# VAsIN2 (GGA-PBE, relaxed)
# * E above lowest polymorph: 826 meV per atom
# * E_form (uncorrected): 1.67 eV per atom
data_VAsIN2
_symmetry_space_group_name_H-M 'P 4/m m m'
_symmetry_Int_Tables_number 123
_symmetry_space_group_name_Hall '-P 4 2'
_cell_length_a 3.7846
_cell_length_b 3.7846
_cell_length_c 6.9645
_cell_angle_alpha 90.00
_cell_angle_beta 90.00
_cell_angle_gamma 90.00
loop_
_atom_site_label
_atom_site_type_symbol
_atom_site_fract_x
_atom_site_fract_y
_atom_site_fract_z
V1 V 0.0000 0.0000 0.0000
As1 As 0.5000 0.5000 0.5000
I1 I 0.5000 0.5000 0.0000
N1 N 0.0000 0.5000 0.5000

***

# 3
# GaBOs (GGA-PBE, relaxed)
# * E_form: 61 meV per atom
data_GaBOs
_symmetry_space_group_name_H-M 'P 1 21/c 1'
_symmetry_Int_Tables_number 14
_cell_length_a 4.5753
_cell_length_b 5.0770
_cell_length_c 7.1544
_cell_angle_alpha 90.00
_cell_angle_beta 105.90
_cell_angle_gamma 90.00
loop_
_symmetry_equiv_pos_as_xyz
'x,y,z'
'-x,-y,-z'
'-x,y+1/2,-z+1/2'
'x,-y+1/2,z+1/2'
loop_
_atom_site_label
_atom_site_type_symbol
_atom_site_fract_x
_atom_site_fract_y
_atom_site_fract_z
Ga1 Ga 0.1878 0.1055 0.3751
B1 B 0.4186 0.6480 0.2949
Os1 Os 0.2648 0.6266 0.5498

***

# 4
# K2LiMnI6 (GGA-PBE, relaxed)
# * E_form (uncorrected): -0.92 eV per atom
data_K2LiMnI6
_symmetry_space_group_name_H-M 'P 1'
_symmetry_Int_Tables_number 1
_cell_length_a 7.4996
_cell_length_b 7.5027
_cell_length_c 8.6549
_cell_angle_alpha 115.48
_cell_angle_beta 115.59
_cell_angle_gamma 90.02
loop_
_symmetry_equiv_pos_as_xyz
'x,y,z'
loop_
_atom_site_label
_atom_site_type_symbol
_atom_site_fract_x
_atom_site_fract_y
_atom_site_fract_z
K1 K 0.0000 0.0000 0.0000
K2 K 0.4979 0.5044 0.9996
Li1 Li 0.6920 0.1967 0.3852
Mn1 Mn 0.2243 0.7244 0.4479
I1 I 0.0174 0.5169 0.0382
I2 I 0.0758 0.0619 0.5051
I3 I 0.4345 0.4487 0.5127
I4 I 0.4994 0.0051 0.9969
I5 I 0.5613 0.9293 0.5030
I6 I 0.9499 0.5800 0.5147

***

# 5
# LuP2Pb (GGA-PBE, relaxed)
# * E_form: -568 meV per atom
data_LuP2Pb
_symmetry_space_group_name_H-M 'R -3 m'
_symmetry_Int_Tables_number 166
_symmetry_space_group_name_Hall '-R 3 2"'
_cell_length_a 4.0037
_cell_length_b 4.0037
_cell_length_c 20.4436
_cell_angle_alpha 90.00
_cell_angle_beta 90.00
_cell_angle_gamma 120.00
loop_
_atom_site_label
_atom_site_type_symbol
_atom_site_fract_x
_atom_site_fract_y
_atom_site_fract_z
Lu1 Lu 0.0000 0.0000 0.0000
P1 P 0.0000 0.0000 0.2588
Pb1 Pb 0.0000 0.0000 0.5000

***

# 6
# YMnNiGe2 (GGA-PBE, relaxed)
# * E_form: -561 meV per atom
data_YMnNiGe2
_symmetry_space_group_name_H-M 'I -4 m 2'
_symmetry_Int_Tables_number 119
_symmetry_space_group_name_Hall 'I -4 -2'
_cell_length_a 4.0544
_cell_length_b 4.0544
_cell_length_c 10.3387
_cell_angle_alpha 90.00
_cell_angle_beta 90.00
_cell_angle_gamma 90.00
loop_
_atom_site_label
_atom_site_type_symbol
_atom_site_fract_x
_atom_site_fract_y
_atom_site_fract_z
Y1 Y 0.0000 0.0000 0.0000
Mn1 Mn 0.0000 0.5000 0.7500
Ni1 Ni 0.0000 0.5000 0.2500
Ge1 Ge 0.0000 0.0000 0.3781

***

Ρ values, unit g cm⁻³, following the record order: 9.9, 4.7, 11.3, 3.9, 7.8, 6.8.